# 1
Entry from the Alexandria database: a relaxed structure of TbGa3CuRu (PBE).

The structure in POSCAR format:
```
TbGa3CuRu
1.0
5.632 0.000 0.000
0.000 7.737 0.000
0.000 -3.868 5.353
Tb Ga Cu Ru
2 6 2 2
direct
0.750 0.300 0.600 Tb
0.250 0.700 0.400 Tb
0.250 0.189 0.378 Ga
0.000 0.255 0.000 Ga
0.500 0.745 0.000 Ga
0.500 0.255 0.000 Ga
0.000 0.745 0.000 Ga
0.750 0.811 0.622 Ga
0.250 0.964 0.927 Cu
0.750 0.036 0.073 Cu
0.250 0.416 0.832 Ru
0.750 0.584 0.168 Ru
```

Values from the calculation:
ΔE_f: -212 meV/atom
Total energy: -4.73 eV per atom
Symmetry: Cmcm (63)
Mass density: 7.58 g/cm³



# 2
Entry from the Alexandria database: a relaxed structure of Ba2BiAu7 (PBE).

The structure in POSCAR format:
```
Ba2BiAu7
1.0
4.553 0.000 0.000
0.000 4.553 0.000
0.000 0.000 12.581
Ba Bi Au
2 1 7
direct
0.500 0.000 0.734 Ba
0.000 0.500 0.266 Ba
0.500 0.500 0.000 Bi
0.000 0.500 0.850 Au
0.500 0.000 0.365 Au
0.500 0.000 0.150 Au
0.000 0.500 0.635 Au
0.000 0.000 0.500 Au
0.000 0.000 0.000 Au
0.500 0.500 0.500 Au
```

Values from the calculation:
ΔE_f: -463 meV/atom
Total energy: -3.53 eV per atom
Symmetry: P-4m2 (115)
Mass density: 11.86 g/cm³



# 3
Entry from the Alexandria database: a relaxed structure of NiP2Se (PBE).

The structure in POSCAR format:
```
NiP2Se
1.0
4.446 0.082 0.000
-1.585 4.154 0.000
0.000 0.000 3.284
Ni P Se
1 2 1
direct
0.000 0.500 0.500 Ni
0.000 0.000 0.000 P
0.500 0.500 0.000 P
0.500 0.000 0.500 Se
```

Values from the calculation:
Energy relative to the elements, uncorrected: 2.29 eV/f.u.
Total energy: -4.45 eV per atom
Symmetry: Cmmm (65)
Mass density: 5.43 g/cm³



# 4
Entry from the Alexandria database: a relaxed structure of ErIn4Ni4 (PBE).

The structure in POSCAR format:
```
ErIn4Ni4
1.0
-0.859 1.730 -4.802
-0.805 -7.854 -2.685
-8.184 0.301 1.572
Er In Ni
2 8 8
direct
0.000 0.000 0.000 Er
0.500 0.500 0.500 Er
0.391 0.335 0.894 In
0.891 0.606 0.835 In
0.391 0.665 0.106 In
0.109 0.165 0.606 In
0.609 0.894 0.665 In
0.109 0.835 0.394 In
0.891 0.394 0.165 In
0.609 0.106 0.335 In
0.610 0.792 0.357 Ni
0.610 0.208 0.643 Ni
0.110 0.857 0.708 Ni
0.890 0.292 0.857 Ni
0.890 0.708 0.143 Ni
0.390 0.357 0.208 Ni
0.390 0.643 0.792 Ni
0.110 0.143 0.292 Ni
```

Values from the calculation:
ΔE_f: -29 meV/atom
Total energy: -4.32 eV per atom
Symmetry: P4_2/n (86)
Mass density: 7.95 g/cm³



# 5
Entry from the Alexandria database: a relaxed structure of Ce4NdOs4 (PBE).

The structure in POSCAR format:
```
Ce4NdOs4
1.0
6.984 0.000 0.000
0.000 6.984 0.000
0.000 0.000 9.042
Ce Nd Os
8 2 8
direct
0.247 0.500 0.860 Ce
0.753 0.500 0.860 Ce
0.500 0.753 0.140 Ce
0.500 0.247 0.140 Ce
0.000 0.747 0.360 Ce
0.000 0.253 0.360 Ce
0.253 0.000 0.640 Ce
0.747 0.000 0.640 Ce
0.000 0.000 0.000 Nd
0.500 0.500 0.500 Nd
0.500 0.807 0.839 Os
0.500 0.193 0.839 Os
0.807 0.500 0.161 Os
0.193 0.500 0.161 Os
0.307 0.000 0.339 Os
0.693 0.000 0.339 Os
0.000 0.307 0.661 Os
0.000 0.693 0.661 Os
```

Values from the calculation:
ΔE_f: 32 meV/atom
Total energy: -8.13 eV per atom
Symmetry: P4_2/nmc (137)
Mass density: 11.04 g/cm³



# 6
Entry from the Alexandria database: a relaxed structure of RbTlAgSe2 (PBE).

The structure in POSCAR format:
```
RbTlAgSe2
1.0
-4.593 3.188 -3.154
-4.519 -1.382 5.185
4.198 6.752 0.712
Rb Tl Ag Se
2 2 2 4
direct
0.244 0.750 0.500 Rb
0.756 0.250 0.500 Rb
0.500 0.750 0.000 Tl
0.500 0.250 0.000 Tl
0.000 0.000 0.000 Ag
0.000 0.500 0.000 Ag
0.741 0.869 0.738 Se
0.741 0.631 0.262 Se
0.259 0.369 0.738 Se
0.259 0.131 0.262 Se
```

Values from the calculation:
Energy relative to the elements, uncorrected: -2.40 eV/f.u.
Total energy: -3.11 eV per atom
Symmetry: Cmme (67)
Mass density: 5.72 g/cm³



# 7
Entry from the Alexandria database: a relaxed structure of KZrW2 (PBE).

The structure in POSCAR format:
```
KZrW2
1.0
3.218 0.000 0.000
0.000 3.218 0.000
0.000 0.000 9.757
K W Zr
1 2 1
direct
0.500 0.500 0.778 K
0.000 0.000 0.087 W
0.500 0.500 0.226 W
0.000 0.000 0.409 Zr
```

Values from the calculation:
Distance to the lowest polymorph of the same formula: 4 kJ/mol of formula units
ΔE_f: 693 meV/atom
Total energy: -8.20 eV per atom
Symmetry: P4mm (99)
Mass density: 8.18 g/cm³



# 8
Entry from the Alexandria database: a relaxed structure of Tm6GeSb3Se2 (PBE).

The structure in POSCAR format:
```
Tm6GeSb3Se2
1.0
-0.194 0.978 7.197
1.906 -6.457 -2.733
6.015 3.806 -1.578
Tm Ge Sb Se
6 1 3 2
direct
0.921 0.597 0.764 Tm
0.756 0.756 0.239 Tm
0.079 0.403 0.236 Tm
0.597 0.921 0.764 Tm
0.244 0.244 0.761 Tm
0.403 0.079 0.236 Tm
0.000 0.000 0.000 Ge
0.171 0.829 0.500 Sb
0.829 0.171 0.500 Sb
0.500 0.500 0.500 Sb
0.334 0.666 0.000 Se
0.666 0.334 0.000 Se
```

Values from the calculation:
Energy relative to the elements, uncorrected: -15.29 eV/f.u.
Total energy: -5.51 eV per atom
Symmetry: C2/m (12)
Mass density: 8.49 g/cm³



Question: Number 3 is which compound?
Answer: NiP2Se



Question: Which of these has the highest total energy?
Answer: RbTlAgSe2